# 1
The following is a DFT calculation (PBE-GGA) of CaNbSb2N after structural relaxation.

extended XYZ file:
```
5
Lattice="5.5995 0.0000 0.0000 0.0000 5.5995 0.0000 0.0000 0.0000 3.9421" Properties=species:S:1:pos:R:3 pbc="T T T"
Ca 0.0000 0.0000 0.0000
Nb 2.7997 2.7997 1.9711
Sb 0.0000 2.7997 0.0000
Sb 2.7997 0.0000 0.0000
N 0.0000 0.0000 1.9711
```

Output
E_tot = -4.296 eV/atom
Space-group type = No. 123
Uncorrected formation energy = 1.43 eV per atom
Theoretical density = 5246 kg/m3
Total magnetic moment = 0.000 μB/atom


# 2
The following is a DFT calculation (PBE-GGA) of Ca3ScNb3N8 after structural relaxation.

extended XYZ file:
```
15
Lattice="3.1778 1.8347 5.6153 -3.1778 1.8347 5.6153 0.0000 -3.6695 5.6153" Properties=species:S:1:pos:R:3 pbc="T T T"
Ca -1.5889 -0.9174 5.6153
Ca -1.5889 0.9174 11.2305
Ca 0.0000 1.8347 5.6153
Sc 0.0000 0.0000 8.4229
Nb -3.1778 0.0000 8.4229
Nb -1.5889 0.9174 2.8076
Nb 1.5889 0.9174 2.8076
N -1.6361 -0.9446 9.5466
N 0.0000 0.0000 4.0294
N 0.0000 -1.8892 7.2992
N -1.6361 0.9446 7.2992
N 1.6361 -0.9446 9.5466
N 0.0000 1.8892 9.5466
N 0.0000 0.0000 12.8163
N 1.6361 0.9446 7.2992
```

Output
E_tot = -8.368 eV/atom
Space-group type = No. 166
Uncorrected formation energy = -1.09 eV per atom
Theoretical density = 4700 kg/m3
Total magnetic moment = 0.000 μB/atom


# 3
The following is a DFT calculation (PBE-GGA) of CaNbSeN2 after structural relaxation.

extended XYZ file:
```
5
Lattice="4.1312 0.0000 0.0000 0.0000 4.1312 0.0000 0.0000 0.0000 5.2832" Properties=species:S:1:pos:R:3 pbc="T T T"
Ca 0.0000 0.0000 0.0000
Nb 2.0656 2.0656 2.6416
Se 0.0000 0.0000 2.6416
N 0.0000 2.0656 0.0000
N 2.0656 0.0000 0.0000
```

Output
E_tot = -4.914 eV/atom
Relative energy among the computed polymorphs = 2094 meV/atom
Space-group type = No. 123
Uncorrected formation energy = 1.53 eV per atom
Theoretical density = 4419 kg/m3
Total magnetic moment = 0.000 μB/atom


# 4
The following is a DFT calculation (PBE-GGA) of CaNbSeN2 after structural relaxation.

extended XYZ file:
```
5
Lattice="4.0883 0.0000 0.0000 0.0000 4.0883 0.0000 0.0000 0.0000 5.3847" Properties=species:S:1:pos:R:3 pbc="T T T"
Ca 0.0000 0.0000 0.0000
Nb 2.0441 2.0441 2.6923
Se 2.0441 2.0441 0.0000
N 0.0000 2.0441 2.6923
N 2.0441 0.0000 2.6923
```

Output
E_tot = -7.008 eV/atom
Relative energy among the computed polymorphs = 0 meV/atom
Space-group type = No. 123
Uncorrected formation energy = -0.57 eV per atom
Theoretical density = 4427 kg/m3
Total magnetic moment = 0.078 μB/atom


# 5
The following is a DFT calculation (PBE-GGA) of CaNbSe2N after structural relaxation.

extended XYZ file:
```
5
Lattice="5.2281 0.0000 0.0000 0.0000 5.2281 0.0000 0.0000 0.0000 3.9550" Properties=species:S:1:pos:R:3 pbc="T T T"
Ca 0.0000 0.0000 0.0000
Nb 2.6140 2.6140 1.9775
Se 0.0000 2.6140 1.9775
Se 2.6140 0.0000 1.9775
N 2.6140 2.6140 0.0000
```

Output
E_tot = -6.287 eV/atom
Relative energy among the computed polymorphs = 0 meV/atom
Space-group type = No. 123
Uncorrected formation energy = -0.81 eV per atom
Theoretical density = 4684 kg/m3
Total magnetic moment = 0.000 μB/atom


# 6
The following is a DFT calculation (PBE-GGA) of CaNbSe2N after structural relaxation.

extended XYZ file:
```
5
Lattice="5.2417 0.0000 0.0000 0.0000 5.2417 0.0000 0.0000 0.0000 3.9802" Properties=species:S:1:pos:R:3 pbc="T T T"
Ca 0.0000 0.0000 0.0000
Nb 2.6209 2.6209 1.9901
Se 0.0000 2.6209 0.0000
Se 2.6209 0.0000 0.0000
N 0.0000 0.0000 1.9901
```

Output
E_tot = -4.461 eV/atom
Relative energy among the computed polymorphs = 1827 meV/atom
Space-group type = No. 123
Uncorrected formation energy = 1.01 eV per atom
Theoretical density = 4630 kg/m3
Total magnetic moment = 0.001 μB/atom


# 7
The following is a DFT calculation (PBE-GGA) of CaSm2NbN4 after structural relaxation.

extended XYZ file:
```
16
Lattice="1.7397 -6.0692 0.0000 1.7397 6.0692 0.0000 0.0000 0.0000 12.4856" Properties=species:S:1:pos:R:3 pbc="T T T"
Ca 1.7397 4.7721 9.3642
Ca 1.7397 -4.7721 3.1214
Sm 1.7397 1.5777 6.6517
Sm 1.7397 1.5777 12.0767
Sm 1.7397 -1.5777 0.4089
Sm 1.7397 -1.5777 5.8339
Nb 1.7397 4.1140 3.1214
Nb 1.7397 -4.1140 9.3642
N 0.0000 0.0000 0.0000
N 0.0000 0.0000 6.2428
N 1.7397 2.9130 1.5916
N 1.7397 2.9130 4.6512
N 1.7397 0.8167 9.3642
N 1.7397 -0.8167 3.1214
N 1.7397 -2.9130 7.8344
N 1.7397 -2.9130 10.8939
```

Output
E_tot = -7.964 eV/atom
Space-group type = No. 63
Uncorrected formation energy = -1.11 eV per atom
Theoretical density = 6169 kg/m3
Total magnetic moment = 0.000 μB/atom


# 8
The following is a DFT calculation (PBE-GGA) of Ca2SmNbN4 after structural relaxation.

extended XYZ file:
```
8
Lattice="5.9233 0.0000 0.0000 0.0000 3.3727 0.0000 -1.9639 0.0000 5.6302" Properties=species:S:1:pos:R:3 pbc="T T T"
Ca 0.0000 0.0000 0.0000
Ca 2.9617 1.6864 0.0000
Sm -0.9819 1.6864 2.8151
Nb 1.9797 0.0000 2.8151
N 0.2244 0.0000 4.0397
N 1.1095 1.6864 1.5853
N 2.8499 1.6864 4.0450
N 3.7351 0.0000 1.5905
```

Output
E_tot = -7.659 eV/atom
Space-group type = No. 10
Uncorrected formation energy = -1.15 eV per atom
Theoretical density = 5602 kg/m3
Total magnetic moment = 0.000 μB/atom


# 9
The following is a DFT calculation (PBE-GGA) of Ca3Sm2NbN6 after structural relaxation.

extended XYZ file:
```
12
Lattice="2.9945 -5.1943 0.0000 2.9945 5.1943 0.0000 -1.9980 0.0000 5.6746" Properties=species:S:1:pos:R:3 pbc="T T T"
Ca 0.0000 0.0000 0.0000
Ca 2.9945 1.6792 0.0000
Ca 2.9945 -1.6792 0.0000
Sm 1.9955 3.4609 2.8373
Sm 1.9955 -3.4609 2.8373
Nb 1.9955 0.0000 2.8373
N 1.0964 1.5627 1.5619
N 0.1946 0.0000 4.0851
N 1.0964 -1.5627 1.5619
N 2.8946 1.5627 4.1127
N 3.7964 0.0000 1.5895
N 2.8946 -1.5627 4.1127
```

Output
E_tot = -7.399 eV/atom
Space-group type = No. 12
Uncorrected formation energy = -1.11 eV per atom
Theoretical density = 5624 kg/m3
Total magnetic moment = 0.000 μB/atom


# 10
The following is a DFT calculation (PBE-GGA) of Ca3TaNb3N8 after structural relaxation.

extended XYZ file:
```
15
Lattice="3.1497 1.8185 5.6574 -3.1497 1.8185 5.6574 0.0000 -3.6370 5.6574" Properties=species:S:1:pos:R:3 pbc="T T T"
Ca -1.5749 -0.9092 5.6574
Ca -1.5749 0.9092 11.3147
Ca 0.0000 1.8185 5.6574
Ta 0.0000 0.0000 8.4861
Nb -3.1497 0.0000 8.4860
Nb -1.5749 0.9092 2.8287
Nb 1.5749 0.9092 2.8287
N 0.0000 0.0000 4.0711
N -1.5431 -0.8909 9.6325
N 0.0000 -1.7818 7.3396
N -1.5431 0.8909 7.3396
N 1.5431 -0.8909 9.6325
N 0.0000 1.7818 9.6325
N 1.5431 0.8909 7.3396
N 0.0000 0.0000 12.9010
```

Output
E_tot = -8.734 eV/atom
Space-group type = No. 166
Uncorrected formation energy = -1.09 eV per atom
Theoretical density = 5910 kg/m3
Total magnetic moment = 0.000 μB/atom


# 11
The following is a DFT calculation (PBE-GGA) of Ca2TaNbN4 after structural relaxation.

extended XYZ file:
```
8
Lattice="5.5236 0.0000 0.0000 0.0000 3.1899 0.0000 -1.8423 0.0000 5.5833" Properties=species:S:1:pos:R:3 pbc="T T T"
Ca 0.0000 0.0000 0.0000
Ca 2.7618 1.5950 0.0000
Ta -0.9212 1.5950 2.7916
Nb 1.8406 0.0000 2.7916
N -0.0260 0.0000 3.9840
N 0.8889 1.5950 1.5858
N 2.7923 1.5950 3.9975
N 3.7073 0.0000 1.5993
```

Output
E_tot = -8.594 eV/atom
Space-group type = No. 10
Uncorrected formation energy = -1.19 eV per atom
Theoretical density = 6921 kg/m3
Total magnetic moment = 0.000 μB/atom


# 12
The following is a DFT calculation (PBE-GGA) of Ca3Ta3NbN8 after structural relaxation.

extended XYZ file:
```
15
Lattice="3.1416 1.8138 5.6416 -3.1416 1.8138 5.6416 0.0000 -3.6277 5.6416" Properties=species:S:1:pos:R:3 pbc="T T T"
Ca -1.5708 -0.9069 5.6416
Ca -1.5708 0.9069 11.2833
Ca 0.0000 1.8138 5.6416
Ta -3.1416 0.0000 8.4625
Ta -1.5708 0.9069 2.8208
Ta 1.5708 0.9069 2.8208
Nb 0.0000 0.0000 8.4625
N -1.5753 -0.9095 9.6032
N 0.0000 0.0000 4.0349
N 0.0000 -1.8190 7.3218
N -1.5753 0.9095 7.3218
N 1.5753 -0.9095 9.6032
N 0.0000 1.8190 9.6032
N 0.0000 0.0000 12.8900
N 1.5753 0.9095 7.3218
```

Output
E_tot = -9.034 eV/atom
Space-group type = No. 166
Uncorrected formation energy = -1.15 eV per atom
Theoretical density = 7473 kg/m3
Total magnetic moment = 0.000 μB/atom


Q: The highest total magnetic moment belongs to which entry?
A: number 4